# Li2CaCo (PBE, relaxed)
data_Li2CaCo
_chemical_formula_sum 'Li2 Ca1 Co1'
_symmetry_space_group_name_H-M 'P m m m'
_symmetry_Int_Tables_number 47
_cell_length_a 3.366
_cell_length_b 3.622
_cell_length_c 6.284
_cell_angle_alpha 90.00
_cell_angle_beta 90.00
_cell_angle_gamma 90.00
loop_
_symmetry_equiv_pos_as_xyz
'x,y,z'
'-x,-y,-z'
'-x,-y,z'
'x,y,-z'
'x,-y,-z'
'-x,y,z'
'-x,y,-z'
'x,-y,z'
loop_
_atom_site_label
_atom_site_type_symbol
_atom_site_fract_x
_atom_site_fract_y
_atom_site_fract_z
_atom_site_occupancy
Li1 Li 0.000 0.000 0.181 1
Ca1 Ca 0.500 0.500 0.500 1
Co1 Co 0.500 0.500 0.000 1
# Formation energy, eV/atom: 0.373
# Total moment, μB per cell: 1.29
# Distance to the lowest polymorph of the same formula, kJ/mol of formula units: 35.0